The following is a PBE calculation of a geometry-optimized SiPdW3 structure, from Alexandria via LeMat-Bulk.

Computed properties:
- Size of the total moment: 0.00 μB per atom
- Calculated volume: 105 Å³ per cell
- Space group: Pm-3m, No. 221

POSCAR file:
```
SiPdW3
1.0
4.7149 0.0000 0.0000
0.0000 4.7149 0.0000
0.0000 0.0000 4.7149
Si Pd W
1 1 3
Direct
0.0000 0.0000 0.0000
0.5000 0.5000 0.5000
0.0000 0.5000 0.5000
0.5000 0.0000 0.5000
0.5000 0.5000 0.0000
```

---

The following is a PBE calculation of a geometry-optimized Si3PdW structure, from Alexandria via LeMat-Bulk.

Computed properties:
- Size of the total moment: 0.00 μB per atom
- Calculated volume: 94 Å³ per cell
- Space group: Pm-3m, No. 221

POSCAR file:
```
Si3PdW
1.0
4.5521 0.0000 0.0000
0.0000 4.5521 0.0000
0.0000 0.0000 4.5521
Si Pd W
3 1 1
Direct
0.0000 0.0000 0.5000
0.0000 0.5000 0.0000
0.5000 0.0000 0.0000
0.0000 0.0000 0.0000
0.5000 0.5000 0.5000
```

---

The following is a PBE calculation of a geometry-optimized SiPdW3 structure, from Alexandria via LeMat-Bulk.

Computed properties:
- Size of the total moment: 0.00 μB per atom
- Calculated volume: 89 Å³ per cell
- Space group: Pm-3m, No. 221

POSCAR file:
```
SiPdW3
1.0
4.4684 0.0000 0.0000
0.0000 4.4684 0.0000
0.0000 0.0000 4.4684
Si Pd W
1 1 3
Direct
0.0000 0.0000 0.0000
0.5000 0.5000 0.5000
0.0000 0.0000 0.5000
0.0000 0.5000 0.0000
0.5000 0.0000 0.0000
```

---

The following is a PBE calculation of a geometry-optimized Si2PdW structure, from Alexandria via LeMat-Bulk.

Computed properties:
- Size of the total moment: 0.00 μB per atom
- Calculated volume: 126 Å³ per cell
- Space group: I-42d, No. 122

POSCAR file:
```
Si2PdW
1.0
-3.3005 3.3005 2.9007
3.3005 -3.3005 2.9007
3.3005 3.3005 -2.9007
Si Pd W
4 2 2
Direct
0.1089 0.1250 0.4839
0.3750 0.8911 0.0161
0.6411 0.6250 0.5161
0.8750 0.3589 0.9839
0.0000 0.0000 0.0000
0.7500 0.2500 0.5000
0.2500 0.7500 0.5000
0.5000 0.5000 0.0000
```

---

Calculated density readings, ordered: 10868; 6593; 12768; 9103 kg/m³
Uncorrected formation energy readings, ordered: 56.26; 32.06; 30.25; 7.81 kcal/mol of atoms
DOS at the Fermi energy readings, ordered: 1.335; 1.574; 0.986; 0.527 states/eV per atom